The following is a PBE-GGA calculation of an optimized crystal structure of NbOsI2N, from Alexandria.

Computed properties:
**Calculated density**: 7.3 g/cm³
**Formation energy (no corrections)**: 6.35 eV/f.u.
**Energy above the lowest structure with this stoichiometry**: 361 meV/atom
**Magnetization**: 3.95 μB per cell
**Space group**: P4/mmm (123)

Cell lengths 5.685, 5.685, 3.876 Å; angles 90.00, 90.00, 90.00 degrees
Each line ends with the local moment (μB).
Sites, in units of the cell vectors:
I: 0.500 0.000 0.000  0.06
Os: 0.500 0.500 0.500  2.83
Nb: 0.000 0.000 0.000  0.50
I: 0.000 0.500 0.000  0.06
N: 0.000 0.000 0.500  -0.06